# 1
{
  "formula": "ThCdCu2",
  "functional": "meta-GGA SCAN",
  "state": "PBEsol geometry",
  "lattice": [[4.742, 0.000, 0.000], [2.371, 4.107, 0.000], [2.371, 1.369, 3.872]],
  "species": ["Cu", "Cu", "Th", "Cd"],
  "frac_coords": [[0.750, 0.750, 0.750], [0.250, 0.250, 0.250], [0.000, 0.000, 0.000], [0.500, 0.500, 0.500]],
  "vol_a3_per_cell": 75,
  "formation_energy_ev_per_atom": -0.123,
  "space_group": "Fm-3m",
  "energy_ev_per_atom": -39.3065
}



# 2
{
  "formula": "LaAsF3",
  "functional": "meta-GGA SCAN",
  "state": "PBEsol geometry",
  "lattice": [[-0.749, -0.882, -4.282], [-2.700, -3.324, 1.157], [-3.439, 2.801, 0.024]],
  "species": ["F", "F", "F", "As", "La"],
  "frac_coords": [[0.000, 0.000, 0.500], [0.000, 0.500, 0.000], [0.500, 0.000, 0.000], [0.000, 0.000, 0.000], [0.500, 0.500, 0.500]],
  "vol_a3_per_cell": 87,
  "e_form_raw_ev_per_fu": -8.01,
  "space_group": "Pm-3m",
  "energy_ev_per_atom": -16.3846
}



# 3
{
  "formula": "MgCdSb",
  "functional": "meta-GGA SCAN",
  "state": "PBEsol geometry",
  "lattice": [[-2.721, 2.235, -3.213], [-1.699, -2.389, -3.759], [-4.653, -0.994, -0.287]],
  "species": ["Mg", "Cd", "Sb"],
  "frac_coords": [[0.250, 0.250, 0.250], [0.500, 0.500, 0.500], [0.000, 0.000, 0.000]],
  "vol_a3_per_cell": 77,
  "e_form_raw_ev_per_fu": -0.27,
  "relative_energy_ev_per_atom": 0.0000,
  "space_group": "F-43m",
  "energy_ev_per_atom": -24.3075
}



# 4
{
  "formula": "CaAg4Pb",
  "functional": "meta-GGA SCAN",
  "state": "PBEsol geometry",
  "lattice": [[5.556, 0.000, 0.000], [2.778, 4.812, 0.000], [2.778, 1.604, 4.537]],
  "species": ["Pb", "Ag", "Ag", "Ag", "Ag", "Ca"],
  "frac_coords": [[0.000, 0.000, 0.000], [0.375, 0.375, 0.375], [0.874, 0.375, 0.375], [0.375, 0.375, 0.874], [0.375, 0.874, 0.375], [0.750, 0.750, 0.750]],
  "vol_a3_per_cell": 121,
  "formation_energy_ev_per_atom": -0.241,
  "space_group": "F-43m",
  "energy_ev_per_atom": -35.3929
}



The calculation returns the following magnetization values, one per record and in order: 0.00; 0.16; 0.00; 0.00 μB per formula unit.